Record 1
Below is a relaxed LaTiCu crystal, with properties calculated at the GGA-PBE level.

```
LaTiCu
1.0
-0.287 -5.022 3.641
2.997 0.251 3.448
-3.452 2.254 2.836
Cu Ti La
2 2 2
Direct
0.526 0.005 0.245
0.277 0.129 0.745
0.402 0.567 0.495
0.402 0.567 0.995
0.994 0.272 0.245
0.810 0.863 0.745
```

Summary:
* uncorrected energy: -5.626 eV per atom
* mass density: 6.29 g/cm³
* symmetry: No. 11
* calculated formation energy: 0.01 eV per atom

=====

Record 2
Below is a relaxed Ca4ZrBr crystal, with properties calculated at the GGA-PBE level.

```
Ca4ZrBr
1.0
0.000 4.825 4.825
4.825 0.000 4.825
4.825 4.825 0.000
Ca Br Zr
4 1 1
Direct
0.871 0.376 0.376
0.376 0.871 0.376
0.376 0.376 0.871
0.376 0.376 0.376
0.000 0.000 0.000
0.750 0.750 0.750
```

Summary:
* uncorrected energy: -2.628 eV per atom
* raw formation energy: 2.5 eV/f.u.
* mass density: 2.45 g/cm³
* symmetry: No. 216

=====

Record 3
Below is a relaxed Ca2PaOsN4 crystal, with properties calculated at the GGA-PBE level.

```
Ca2PaOsN4
1.0
-2.467 -2.171 -0.896
4.821 -3.282 1.153
-3.319 -0.899 11.321
N Ca Pa Os
8 4 2 2
Direct
0.721 0.442 0.644
0.549 0.098 0.250
0.279 0.558 0.356
0.721 0.442 0.856
0.451 0.902 0.750
0.000 0.000 0.500
0.000 0.000 0.000
0.279 0.558 0.144
0.370 0.739 0.960
0.630 0.261 0.040
0.370 0.739 0.540
0.630 0.261 0.460
0.882 0.763 0.250
0.118 0.237 0.750
0.141 0.283 0.250
0.859 0.717 0.750
```

Summary:
* uncorrected energy: -7.878 eV per atom
* raw formation energy: -5.0 eV/f.u.
* mass density: 8.07 g/cm³
* symmetry: No. 63

=====

| no. | spin magnetization (μB per formula unit) |
| --- | --- |
| 1 | 0.00 |
| 2 | 3.69 |
| 3 | 0.00 |